[1]
Compound: CaRuS2
Source: Alexandria
Functional: PBE
Structure: relaxed

a b c (Å): 7.8742 7.8742 7.8742
angles (deg): 27.33 27.33 27.33
Last column: nearest neighbours and their distance in Å.
Sites, in units of the cell vectors:
Ru: 0.5000 0.5000 0.5000  6 S 2.42
S: 0.1180 0.1180 0.1180  3 Ru 2.42, 1 Ca 2.68
S: 0.8820 0.8820 0.8820  3 Ru 2.42, 1 Ca 2.68
Ca: 0.0000 0.0000 0.0000  2 S 2.68

Computed properties:
ΔE_f (raw): -1.650 eV/f.u.
Symmetry: R-3m
D(E_F): 2.7 states/eV per cell
Magnetic moment: 0.000 Bohr magnetons per cell
Distance to the lowest polymorph of the same formula: 376 meV per atom
DFT total energy: -5.296 eV/atom
Crystal system: trigonal

[2]
Compound: CaRuS2
Source: Alexandria
Functional: PBE
Structure: relaxed

a b c (Å): 4.5498 4.5498 4.5498
angles (deg): 60.00 60.00 60.00
Last column: nearest neighbours and their distance in Å.
Sites, in units of the cell vectors:
S: 0.7500 0.7500 0.7500  4 Ca 2.79, 4 Ru 2.79
S: 0.2500 0.2500 0.2500  4 Ru 2.79, 4 Ca 2.79
Ca: 0.0000 0.0000 0.0000  8 S 2.79
Ru: 0.5000 0.5000 0.5000  8 S 2.79

Computed properties:
ΔE_f (raw): -1.996 eV/f.u.
Symmetry: Fm-3m
D(E_F): 2.9 states/eV per cell
Magnetic moment: 0.000 Bohr magnetons per cell
Distance to the lowest polymorph of the same formula: 289 meV per atom
DFT total energy: -5.382 eV/atom
Crystal system: cubic

[3]
Compound: CaRu2S
Source: Alexandria
Functional: PBE
Structure: relaxed

a b c (Å): 7.2900 7.2900 5.8860
angles (deg): 51.74 51.74 90.00
Last column: nearest neighbours and their distance in Å.
Sites, in units of the cell vectors:
Ru: 0.2406 0.6250 0.2500  2 S 2.19
Ru: 0.5094 0.1250 0.2500  2 S 2.19
Ru: 0.3750 0.4906 0.7500  2 S 2.19
Ru: 0.8750 0.7594 0.7500  2 S 2.19
S: 0.5000 0.5000 0.0000  4 Ru 2.19
S: 0.2500 0.7500 0.5000  4 Ru 2.19
Ca: 0.7500 0.2500 0.5000  2 S 2.84, 4 Ru 2.97
Ca: 0.0000 0.0000 0.0000  2 S 2.84, 4 Ru 2.97

Computed properties:
ΔE_f (raw): -0.343 eV/f.u.
Symmetry: I-42d
D(E_F): 3.9 states/eV per cell
Magnetic moment: 0.000 Bohr magnetons per cell
DFT total energy: -6.256 eV/atom
Crystal system: tetragonal

[4]
Compound: CaRuS3
Source: Alexandria
Functional: PBE
Structure: relaxed

a b c (Å): 4.7126 4.7126 4.7126
angles (deg): 90.00 90.00 90.00
Last column: nearest neighbours and their distance in Å.
Sites, in units of the cell vectors:
Ca: 0.5000 0.5000 0.5000  12 S 3.33
S: 0.5000 0.0000 0.0000  2 Ru 2.36
S: 0.0000 0.5000 0.0000  2 Ru 2.36
S: 0.0000 0.0000 0.5000  2 Ru 2.36
Ru: 0.0000 0.0000 0.0000  6 S 2.36

Computed properties:
ΔE_f (raw): -2.496 eV/f.u.
Symmetry: Pm-3m
D(E_F): 2.9 states/eV per cell
Magnetic moment: 2.437 Bohr magnetons per cell
Distance to the lowest polymorph of the same formula: 0 meV per atom
DFT total energy: -5.231 eV/atom
Crystal system: cubic

[5]
Compound: CaRuSe2S
Source: Alexandria
Functional: PBE
Structure: relaxed

a b c (Å): 5.3617 5.0886 5.3617
angles (deg): 90.00 90.00 90.00
Last column: nearest neighbours and their distance in Å.
Sites, in units of the cell vectors:
Se: 0.5000 0.0000 0.0000  2 Ca 2.68
Se: 0.0000 0.0000 0.5000  2 Ca 2.68
Ca: 0.0000 0.0000 0.0000  2 S 2.54, 4 Se 2.68
S: 0.0000 0.5000 0.0000  2 Ca 2.54
Ru: 0.5000 0.5000 0.5000  8 Se 3.70, 4 S 3.79

Computed properties:
ΔE_f (raw): 4.180 eV/f.u.
Symmetry: P4/mmm
D(E_F): 13.5 states/eV per cell
Magnetic moment: 2.109 Bohr magnetons per cell
DFT total energy: -3.639 eV/atom
Crystal system: tetragonal

[6]
Compound: CaSiRuS2
Source: Alexandria
Functional: PBE
Structure: relaxed

a b c (Å): 5.0784 5.0773 5.0784
angles (deg): 90.00 90.00 90.00
Last column: nearest neighbours and their distance in Å.
Sites, in units of the cell vectors:
Ca: 0.0000 0.0000 0.0000  2 Ru 2.54, 4 S 2.54
S: 0.5000 0.0000 0.0000  2 Ca 2.54
S: 0.0000 0.0000 0.5000  2 Ca 2.54
Ru: 0.0000 0.5000 0.0000  2 Ca 2.54
Si: 0.5000 0.5000 0.5000  8 S 3.59, 4 Ru 3.59

Computed properties:
ΔE_f (raw): 6.087 eV/f.u.
Symmetry: P4/mmm
D(E_F): 7.0 states/eV per cell
Magnetic moment: 2.615 Bohr magnetons per cell
DFT total energy: -3.774 eV/atom
Crystal system: tetragonal

[7]
Compound: CaSbRu2
Source: Alexandria
Functional: PBE
Structure: relaxed

a b c (Å): 4.7189 3.1411 5.2334
angles (deg): 75.17 90.00 90.00
Last column: nearest neighbours and their distance in Å.
Sites, in units of the cell vectors:
Ru: 0.5000 0.3947 0.2266  1 Ca 2.54, 2 Sb 2.70
Ru: 0.0000 0.0182 0.0575  3 Sb 2.66-2.92, 2 Ru 2.88
Sb: 0.0000 0.3408 0.4833  5 Ru 2.66-2.92
Ca: 0.5000 0.7464 0.7325  1 Ru 2.54

Computed properties:
ΔE_f (raw): 0.438 eV/f.u.
Symmetry: Pm
D(E_F): 3.5 states/eV per cell
Magnetic moment: 0.000 Bohr magnetons per cell
DFT total energy: -6.060 eV/atom
Crystal system: monoclinic

[8]
Compound: Ca2SbRu2
Source: Alexandria
Functional: PBE
Structure: relaxed

a b c (Å): 6.7978 6.7978 4.7421
angles (deg): 90.00 90.00 90.00
Last column: nearest neighbours and their distance in Å.
Sites, in units of the cell vectors:
Ca: 0.3270 0.1730 0.5000  6 Ru 3.04-3.15, 1 Ca 3.33
Ca: 0.6730 0.8270 0.5000  6 Ru 3.04-3.15, 1 Ca 3.33
Ca: 0.1730 0.6730 0.5000  6 Ru 3.04-3.15, 1 Ca 3.33
Ca: 0.8270 0.3270 0.5000  6 Ru 3.04-3.15, 1 Ca 3.33
Ru: 0.3712 0.8712 0.0000  1 Ru 2.48, 2 Sb 2.67
Ru: 0.8712 0.6288 0.0000  1 Ru 2.48, 2 Sb 2.67
Ru: 0.1288 0.3712 0.0000  1 Ru 2.48, 2 Sb 2.67
Ru: 0.6288 0.1288 0.0000  1 Ru 2.48, 2 Sb 2.67
Sb: 0.5000 0.5000 0.0000  4 Ru 2.67
Sb: 0.0000 0.0000 0.0000  4 Ru 2.67

Computed properties:
ΔE_f (raw): -1.169 eV/f.u.
Symmetry: P4/mbm
D(E_F): 4.6 states/eV per cell
Magnetic moment: 0.000 Bohr magnetons per cell
DFT total energy: -5.569 eV/atom
Crystal system: tetragonal

[9]
Compound: CaSbRu2
Source: Alexandria
Functional: PBE
Structure: relaxed

a b c (Å): 4.8101 4.8101 5.4886
angles (deg): 75.80 75.80 40.15
Last column: nearest neighbours and their distance in Å.
Sites, in units of the cell vectors:
Ru: 0.5179 0.5179 0.4328  3 Sb 2.65-2.85, 2 Ru 2.68
Ru: 0.9821 0.9821 0.0672  3 Sb 2.65-2.85, 2 Ru 2.68
Ca: 0.7500 0.7500 0.7500  6 Ru 3.06-3.07, 4 Sb 3.20, 2 Ca 3.30
Sb: 0.2500 0.2500 0.2500  6 Ru 2.65-2.85

Computed properties:
ΔE_f (raw): 0.457 eV/f.u.
Symmetry: C2/m
D(E_F): 2.7 states/eV per cell
Magnetic moment: 0.000 Bohr magnetons per cell
DFT total energy: -6.055 eV/atom
Crystal system: monoclinic

[10]
Compound: CaSb3Ru2
Source: Alexandria
Functional: PBE
Structure: relaxed

a b c (Å): 4.4852 6.8644 8.9327
angles (deg): 90.00 90.00 109.07
Last column: nearest neighbours and their distance in Å.
Sites, in units of the cell vectors:
Ca: 0.8192 0.6383 0.7500  8 Sb 3.14-3.47, 4 Ru 3.24-3.40
Ca: 0.1808 0.3617 0.2500  8 Sb 3.14-3.47, 4 Ru 3.24-3.40
Sb: 0.3748 0.7496 0.5180  4 Ru 2.76-2.78
Sb: 0.6252 0.2504 0.4820  4 Ru 2.76-2.78
Sb: 0.1236 0.2473 0.7500  4 Ru 2.64-2.75
Sb: 0.3748 0.7496 0.9820  4 Ru 2.76-2.78
Sb: 0.8764 0.7527 0.2500  4 Ru 2.64-2.75
Sb: 0.6252 0.2504 0.0180  4 Ru 2.76-2.78
Ru: 0.5159 0.0318 0.7500  6 Sb 2.64-2.78
Ru: 0.0000 0.0000 0.5000  6 Sb 2.75-2.77
Ru: 0.4841 0.9682 0.2500  6 Sb 2.64-2.78
Ru: 0.0000 0.0000 0.0000  6 Sb 2.75-2.77

Computed properties:
ΔE_f (raw): -2.225 eV/f.u.
Symmetry: Cmcm
D(E_F): 5.1 states/eV per cell
Magnetic moment: 0.000 Bohr magnetons per cell
DFT total energy: -5.858 eV/atom
Crystal system: orthorhombic

[11]
Compound: CaSbRu3
Source: Alexandria
Functional: PBE
Structure: relaxed

a b c (Å): 4.7029 4.7029 4.7029
angles (deg): 90.00 90.00 90.00
Last column: nearest neighbours and their distance in Å.
Sites, in units of the cell vectors:
Ru: 0.0000 0.5000 0.0000  2 Ca 2.35
Ru: 0.0000 0.0000 0.5000  2 Ca 2.35
Ru: 0.5000 0.0000 0.0000  2 Ca 2.35
Sb: 0.5000 0.5000 0.5000  12 Ru 3.33
Ca: 0.0000 0.0000 0.0000  6 Ru 2.35

Computed properties:
ΔE_f (raw): 9.962 eV/f.u.
Symmetry: Pm-3m
D(E_F): 8.4 states/eV per cell
Magnetic moment: 0.835 Bohr magnetons per cell
Distance to the lowest polymorph of the same formula: 1062 meV per atom
DFT total energy: -4.798 eV/atom
Crystal system: cubic

[12]
Compound: CaSbRu
Source: Alexandria
Functional: PBE
Structure: relaxed

a b c (Å): 4.4815 4.4815 6.9443
angles (deg): 90.00 90.00 90.00
Last column: nearest neighbours and their distance in Å.
Sites, in units of the cell vectors:
Ru: 0.0000 0.0000 0.5000  4 Sb 2.67
Ru: 0.5000 0.5000 0.5000  4 Sb 2.67
Sb: 0.5000 0.0000 0.7088  4 Ru 2.67
Sb: 0.0000 0.5000 0.2912  4 Ru 2.67
Ca: 0.5000 0.0000 0.1913  4 Ru 3.10, 5 Sb 3.24-3.35
Ca: 0.0000 0.5000 0.8087  4 Ru 3.10, 5 Sb 3.24-3.35

Computed properties:
ΔE_f (raw): -1.664 eV/f.u.
Symmetry: P4/nmm
D(E_F): 4.3 states/eV per cell
Magnetic moment: 0.000 Bohr magnetons per cell
DFT total energy: -5.688 eV/atom
Crystal system: tetragonal